Entry from Alexandria: a relaxed structure of K2BaRh (PBE).

```
data_K2BaRh
_symmetry_space_group_name_H-M 'I m m m'
_symmetry_Int_Tables_number 71
_symmetry_space_group_name_Hall '-I 2 2'
_cell_length_a 3.8593
_cell_length_b 4.9026
_cell_length_c 19.5201
_cell_angle_alpha 90.00
_cell_angle_beta 90.00
_cell_angle_gamma 90.00
loop_
_atom_site_label
_atom_site_fract_x
_atom_site_fract_y
_atom_site_fract_z
K1 0.0000 0.0000 0.1569
Ba1 0.0000 0.5000 0.0000
Rh1 0.0000 0.5000 0.5000
```

Computed properties:
**Calculated volume**: 46.17 Å³ per atom
**E**: -2.677 eV/atom
**Formation enthalpy at 0 K**: 4.395 kcal/mol of atoms